(1)
DFT (PBE) results for an optimized crystal structure of Nd2P4RuRh3.

The space group is No. 115. The value obtained for the total energy is -73.3 eV per formula unit. For the theoretical density, the calculation gives 8.2 Mg/m³. The calculation puts the total magnetization at 0.00 μB/cell. Its crystal system is tetragonal.

a b c (Å): 4.1736 4.1736 9.5611
angles (deg): 90.00 90.00 90.00
With the nearest neighbours (Å) after each atom.
Fractional positions:
Nd 0.5000 0.0000 0.2396  8 P 3.10-3.19, 7 Rh 3.19-3.38, 2 Ru 3.25
Nd 0.0000 0.5000 0.7604  8 P 3.10-3.19, 7 Rh 3.19-3.38, 2 Ru 3.25
P 0.5000 0.5000 0.0000  4 Rh 2.35
P 0.0000 0.0000 0.0000  4 Rh 2.35
P 0.5000 0.0000 0.6328  3 Rh 2.43-2.44, 2 Ru 2.44
P 0.0000 0.5000 0.3672  3 Rh 2.43-2.44, 2 Ru 2.44
Ru 0.5000 0.5000 0.5000  4 P 2.44
Rh 0.0000 0.0000 0.5000  4 P 2.44
Rh 0.5000 0.0000 0.8865  5 P 2.35-2.43
Rh 0.0000 0.5000 0.1135  5 P 2.35-2.43

(2)
DFT (PBE) results for an optimized crystal structure of SbOs4.

The space group is No. 221. For the theoretical density, the calculation gives 13.9 Mg/m³. The relative energy among the computed polymorphs is 1267 kJ/mol of formula units. The calculation puts the total magnetization at 2.06 μB/cell. The raw formation energy comes out at 3.09 eV/atom. Its crystal system is cubic.

a b c (Å): 4.7202 4.7202 4.7202
angles (deg): 90.00 90.00 90.00
With the nearest neighbours (Å) after each atom.
Fractional positions:
Sb 0.5000 0.5000 0.5000  6 Os 2.36
Os 0.0000 0.0000 0.0000  12 Os 3.34
Os 0.5000 0.0000 0.5000  2 Sb 2.36
Os 0.0000 0.5000 0.5000  2 Sb 2.36
Os 0.5000 0.5000 0.0000  2 Sb 2.36

(3)
DFT (PBE) results for an optimized crystal structure of CaTlGeBr5.

The space group is No. 15. For the theoretical density, the calculation gives 4.0 Mg/m³. The calculation puts the total magnetization at 0.00 μB/cell. The raw formation energy comes out at -1.16 eV/atom. Its crystal system is monoclinic.

a b c (Å): 7.8007 7.8007 11.4812
angles (deg): 110.30 110.30 96.33
With the nearest neighbours (Å) after each atom.
Fractional positions:
Ca 0.0000 0.0000 0.5000  6 Br 2.90-2.98
Ca 0.0000 0.0000 0.0000  6 Br 2.90-2.98
Tl 0.3182 0.6818 0.2500  7 Br 3.30-3.59
Tl 0.6818 0.3182 0.7500  7 Br 3.30-3.59
Ge 0.7336 0.2664 0.2500  4 Br 2.57-2.83
Ge 0.2664 0.7336 0.7500  4 Br 2.57-2.83
Br 0.0342 0.9658 0.2500  2 Ca 2.90
Br 0.9658 0.0342 0.7500  2 Ca 2.90
Br 0.8869 0.3494 0.0792  1 Ge 2.83, 1 Ca 2.90
Br 0.1131 0.6506 0.9208  1 Ge 2.83, 1 Ca 2.90
Br 0.6506 0.1131 0.4208  1 Ge 2.83, 1 Ca 2.90
Br 0.3494 0.8869 0.5792  1 Ge 2.83, 1 Ca 2.90
Br 0.7716 0.6084 0.4101  1 Ge 2.57
Br 0.2284 0.3916 0.5899  1 Ge 2.57
Br 0.3916 0.2284 0.0899  1 Ge 2.57
Br 0.6084 0.7716 0.9101  1 Ge 2.57

(4)
DFT (PBE) results for an optimized crystal structure of Pr2Dy8Mg.

The space group is No. 71. For the theoretical density, the calculation gives 7.4 Mg/m³. The relative energy among the computed polymorphs is 0 kJ/mol of formula units. The calculation puts the total magnetization at 0.00 μB/cell. Its crystal system is orthorhombic.

a b c (Å): 5.5396 7.7135 9.6355
angles (deg): 113.59 106.71 90.00
With the nearest neighbours (Å) after each atom.
Fractional positions:
Pr 0.1955 0.6955 0.3911  10 Dy 3.41-3.74
Pr 0.8045 0.3045 0.6089  10 Dy 3.41-3.74
Dy 0.6348 0.8570 0.2697  1 Mg 3.12, 2 Pr 3.41, 1 Dy 3.43
Dy 0.3652 0.5874 0.7303  1 Mg 3.12, 2 Pr 3.41, 1 Dy 3.43
Dy 0.1736 0.1736 0.3472  4 Pr 3.53-3.87, 8 Dy 3.56-3.64
Dy 0.0000 0.2678 0.0000  2 Mg 3.46, 7 Dy 3.57-3.58, 2 Pr 3.74
Dy 0.8264 0.8264 0.6528  4 Pr 3.53-3.87, 8 Dy 3.56-3.64
Dy 0.6348 0.4126 0.2697  1 Mg 3.12, 2 Pr 3.41, 1 Dy 3.43
Dy 0.3652 0.1430 0.7303  1 Mg 3.12, 2 Pr 3.41, 1 Dy 3.43
Dy 0.0000 0.7322 0.0000  2 Mg 3.46, 7 Dy 3.57-3.58, 2 Pr 3.74
Mg 0.5000 0.0000 0.0000  8 Dy 3.12-3.46

(5)
DFT (PBE) results for an optimized crystal structure of GdGaAs2.

The space group is No. 166. The value obtained for the total energy is -25.3 eV per formula unit. For the theoretical density, the calculation gives 6.6 Mg/m³. The calculation puts the total magnetization at 7.20 μB/cell. Its crystal system is trigonal.

a b c (Å): 3.1529 3.1529 11.1500
angles (deg): 81.87 81.87 60.00
With the nearest neighbours (Å) after each atom.
Fractional positions:
As 0.0880 0.0880 0.7360  1 Gd 2.90, 6 As 3.15, 3 Ga 3.17
As 0.9120 0.9120 0.2640  1 Gd 2.90, 6 As 3.15, 3 Ga 3.17
Gd 0.0000 0.0000 0.0000  2 As 2.90, 6 Gd 3.15
Ga 0.5000 0.5000 0.5000  6 Ga 3.15, 6 As 3.17

(6)
DFT (PBE) results for an optimized crystal structure of Li2AgMo.

The space group is No. 122. For the theoretical density, the calculation gives 5.7 Mg/m³. The relative energy among the computed polymorphs is 255 kJ/mol of formula units. The calculation puts the total magnetization at 3.67 μB/cell. Its crystal system is tetragonal.

a b c (Å): 6.8531 6.8531 5.5579
angles (deg): 51.94 51.94 90.00
With the nearest neighbours (Å) after each atom.
Fractional positions:
Mo 0.5000 0.5000 0.0000  4 Li 2.59, 2 Ag 2.72
Mo 0.2500 0.7500 0.5000  4 Li 2.59, 2 Ag 2.72
Ag 0.0000 0.0000 0.0000  4 Li 2.44, 2 Mo 2.72
Ag 0.7500 0.2500 0.5000  4 Li 2.44, 2 Mo 2.72
Li 0.6415 0.1250 0.2500  2 Ag 2.44, 2 Mo 2.59, 2 Li 2.73
Li 0.1085 0.6250 0.2500  2 Ag 2.44, 2 Mo 2.59, 2 Li 2.73
Li 0.3750 0.3585 0.7500  2 Ag 2.44, 2 Mo 2.59, 2 Li 2.73
Li 0.8750 0.8915 0.7500  2 Ag 2.44, 2 Mo 2.59, 2 Li 2.73

> What is the theoretical density in the second record?

13.9 Mg/m³

> What is the theoretical density in the third record?

4.0 Mg/m³

Repeat the fourth record exactly.
DFT (PBE) results for an optimized crystal structure of Pr2Dy8Mg.

The space group is No. 71. For the theoretical density, the calculation gives 7.4 Mg/m³. The relative energy among the computed polymorphs is 0 kJ/mol of formula units. The calculation puts the total magnetization at 0.00 μB/cell. Its crystal system is orthorhombic.

a b c (Å): 5.5396 7.7135 9.6355
angles (deg): 113.59 106.71 90.00
With the nearest neighbours (Å) after each atom.
Fractional positions:
Pr 0.1955 0.6955 0.3911  10 Dy 3.41-3.74
Pr 0.8045 0.3045 0.6089  10 Dy 3.41-3.74
Dy 0.6348 0.8570 0.2697  1 Mg 3.12, 2 Pr 3.41, 1 Dy 3.43
Dy 0.3652 0.5874 0.7303  1 Mg 3.12, 2 Pr 3.41, 1 Dy 3.43
Dy 0.1736 0.1736 0.3472  4 Pr 3.53-3.87, 8 Dy 3.56-3.64
Dy 0.0000 0.2678 0.0000  2 Mg 3.46, 7 Dy 3.57-3.58, 2 Pr 3.74
Dy 0.8264 0.8264 0.6528  4 Pr 3.53-3.87, 8 Dy 3.56-3.64
Dy 0.6348 0.4126 0.2697  1 Mg 3.12, 2 Pr 3.41, 1 Dy 3.43
Dy 0.3652 0.1430 0.7303  1 Mg 3.12, 2 Pr 3.41, 1 Dy 3.43
Dy 0.0000 0.7322 0.0000  2 Mg 3.46, 7 Dy 3.57-3.58, 2 Pr 3.74
Mg 0.5000 0.0000 0.0000  8 Dy 3.12-3.46